The following is a DFT calculation (GGA-PBE) of a relaxed structure of Nd3In2Hg3.

Unit cell a=4.763 b=6.327 c=15.839 alpha=90.00 beta=90.00 gamma=112.11
Sites, in units of the cell vectors:
Hg (0.617, 0.234, 0.035)
Hg (0.617, 0.234, 0.465)
Hg (0.383, 0.766, 0.535)
Hg (0.383, 0.766, 0.965)
Hg (0.627, 0.254, 0.750)
Hg (0.373, 0.746, 0.250)
Nd (0.640, 0.281, 0.250)
Nd (0.360, 0.719, 0.750)
Nd (0.081, 0.162, 0.891)
Nd (0.081, 0.162, 0.609)
Nd (0.919, 0.838, 0.109)
Nd (0.919, 0.838, 0.391)
In (0.209, 0.418, 0.391)
In (0.791, 0.582, 0.609)
In (0.209, 0.418, 0.109)
In (0.791, 0.582, 0.891)

Energy above the most stable polymorph in this dataset   0.00 kJ/mol of atoms
DFT formation energy   -0.44 eV/atom
Crystal system   orthorhombic

***

The following is a DFT calculation (GGA-PBE) of a relaxed structure of KMg6CO8.

Unit cell a=4.777 b=4.777 c=7.886 alpha=90.00 beta=90.00 gamma=90.00
Sites, in units of the cell vectors:
C (0.000, 0.000, 0.500)
O (0.500, 0.500, 0.250)
O (0.000, 0.500, 0.000)
O (0.000, 0.000, 0.664)
O (0.500, 0.500, 0.750)
O (0.000, 0.500, 0.500)
O (0.000, 0.000, 0.336)
O (0.500, 0.000, 0.500)
O (0.500, 0.000, 0.000)
Mg (0.000, 0.500, 0.744)
Mg (0.500, 0.000, 0.744)
Mg (0.500, 0.500, 0.500)
Mg (0.500, 0.500, 0.000)
Mg (0.500, 0.000, 0.256)
Mg (0.000, 0.500, 0.256)
K (0.000, 0.000, 0.000)

Energy above the most stable polymorph in this dataset   0.00 kJ/mol of atoms
ΔE_f (raw)   -1.755 eV/atom
Crystal system   tetragonal

***

The following is a DFT calculation (GGA-PBE) of a relaxed structure of Na4Sc3BiS8.

Unit cell a=7.724 b=8.005 c=7.725 alpha=118.85 beta=120.00 gamma=90.00
Sites, in units of the cell vectors:
Sc (0.500, 0.500, 0.500)
Sc (0.000, 0.500, 0.500)
Sc (0.500, 0.500, 0.000)
S (0.750, 0.278, 0.027)
S (0.723, 0.722, 0.973)
S (0.738, 0.714, 0.476)
S (0.277, 0.278, 0.027)
S (0.250, 0.722, 0.973)
S (0.751, 0.280, 0.502)
S (0.249, 0.720, 0.498)
S (0.262, 0.286, 0.524)
Bi (0.000, 0.500, 0.000)
Na (0.000, 0.000, 0.000)
Na (0.500, 0.000, 0.000)
Na (0.000, 0.000, 0.500)
Na (0.500, 0.000, 0.500)

ΔE_f (raw)   -1.482 eV/atom
Crystal system   monoclinic

***

The following is a DFT calculation (GGA-PBE) of a relaxed structure of Sr2PaPt4.

Unit cell a=4.866 b=4.866 c=8.000 alpha=107.71 beta=107.71 gamma=90.00
Sites, in units of the cell vectors:
Pt (0.102, 0.602, 0.203)
Pt (0.898, 0.398, 0.797)
Pt (0.602, 0.102, 0.203)
Pt (0.398, 0.898, 0.797)
Sr (0.269, 0.269, 0.539)
Sr (0.731, 0.731, 0.461)
Pa (0.000, 0.000, 0.000)

DFT formation energy   -0.64 eV/atom
Crystal system   tetragonal

***

The following is a DFT calculation (GGA-PBE) of a relaxed structure of Sr2SiPt.

Unit cell a=4.383 b=4.865 c=5.860 alpha=65.46 beta=90.00 gamma=90.00
Sites, in units of the cell vectors:
Sr (0.500, 0.270, 0.336)
Sr (0.000, 0.977, 0.921)
Si (0.500, 0.580, 0.714)
Pt (0.000, 0.673, 0.529)

ΔE_f (raw)   -0.722 eV/atom
Crystal system   orthorhombic

***

The following is a DFT calculation (GGA-PBE) of a relaxed structure of SmY3H.

Unit cell a=5.037 b=5.037 c=5.037 alpha=90.00 beta=90.00 gamma=90.00
Sites, in units of the cell vectors:
Y (0.000, 0.500, 0.000)
Y (0.500, 0.000, 0.000)
Y (0.000, 0.000, 0.500)
H (0.000, 0.000, 0.000)
Sm (0.500, 0.500, 0.500)

E   -5.653 eV/atom
Crystal system   cubic

***

Calculated values (μB/atom) of total magnetic moment for the records, taken in order: 0.00 0.05 0.00 0.00 0.00 0.00.